## ScPS2 (PBE-GGA)

Data for a relaxed ScPS2 crystal.

Summary:
ΔE_f (raw) = -0.75 eV per atom
SG = R-3m (166)
VASP energy = -23.01 eV per formula unit

Cell lengths 7.9824, 7.9824, 7.9824 Å; angles 25.95, 25.95, 25.95 degrees
Atoms (fractional coordinates):
S1 0.8978 0.8978 0.8978
S2 0.1022 0.1022 0.1022
Sc1 0.5000 0.5000 0.5000
P1 0.0000 0.0000 0.0000

---

## Na3Ti2NiSe6 (PBE-GGA)

Data for a relaxed Na3Ti2NiSe6 crystal.

Summary:
ΔE_f (raw) = -0.95 eV per atom
SG = C2/m (12)
VASP energy = -57.86 eV per formula unit

Cell lengths 6.5183, 6.5183, 7.2550 Å; angles 98.63, 98.63, 120.00 degrees
Each line ends with the local moment (μB).
Atoms (fractional coordinates):
Ti1 0.6659 0.3341 0.0000  -0.30
Ti2 0.3341 0.6659 0.0000  -0.30
Na1 0.1679 0.8321 0.5000  0.00
Na2 0.8321 0.1679 0.5000  0.00
Na3 0.5000 0.5000 0.5000  0.00
Se1 0.7389 0.7389 0.2064  0.07
Se2 0.9318 0.6019 0.7949  0.07
Se3 0.2611 0.2611 0.7936  0.07
Se4 0.3981 0.0682 0.2051  0.07
Se5 0.6019 0.9318 0.7949  0.07
Se6 0.0682 0.3981 0.2051  0.07
Ni1 0.0000 0.0000 0.0000  1.02

---

## MnIn3Fe (PBE-GGA)

Data for a relaxed MnIn3Fe crystal.

Summary:
SG = Pm-3m (221)
DFT formation energy = 1062 meV/atom
VASP energy = -20.54 eV per formula unit
offset from the most stable computed form = 244 meV/atom

Cell lengths 4.8936, 4.8936, 4.8936 Å; angles 90.00, 90.00, 90.00 degrees
Each line ends with the local moment (μB).
Atoms (fractional coordinates):
In1 0.5000 0.0000 0.0000  0.06
In2 0.0000 0.5000 0.0000  0.04
In3 0.0000 0.0000 0.5000  0.04
Fe1 0.0000 0.0000 0.0000  -1.49
Mn1 0.5000 0.5000 0.5000  0.51

---

## NaErSnIr (PBE-GGA)

Data for a relaxed NaErSnIr crystal.

Summary:
SG = F-43m (216)
DFT formation energy = -419 meV/atom
VASP energy = -20.42 eV per formula unit

Cell lengths 4.8335, 4.8335, 4.8335 Å; angles 60.00, 60.00, 60.00 degrees
Atoms (fractional coordinates):
Sn1 0.7500 0.7500 0.7500
Ir1 0.0000 0.0000 0.0000
Na1 0.5000 0.5000 0.5000
Er1 0.2500 0.2500 0.2500

---

## Ti6Bi2O (PBE-GGA)

Data for a relaxed Ti6Bi2O crystal.

Summary:
ΔE_f (raw) = -0.58 eV per atom
SG = I4/mmm (139)
VASP energy = -65.33 eV per formula unit
offset from the most stable computed form = 92 meV/atom

Cell lengths 5.9973, 5.9973, 6.0008 Å; angles 59.98, 59.98, 60.04 degrees
Each line ends with the local moment (μB).
Atoms (fractional coordinates):
Ti1 0.7549 0.7549 0.2454  0.25
Ti2 0.7548 0.2453 0.2452  0.25
Ti3 0.2452 0.7547 0.7548  0.25
Ti4 0.2451 0.2451 0.7546  0.25
Ti5 0.7547 0.2452 0.7548  0.25
Ti6 0.2453 0.7548 0.2452  0.25
Bi1 0.7500 0.7500 0.7501  0.00
Bi2 0.2500 0.2500 0.2499  0.00
O1 0.5000 0.5000 0.5000  0.01

---

## SrLi2Au (PBE-GGA)

Data for a relaxed SrLi2Au crystal.

Summary:
SG = R-3m (166)
DFT formation energy = -335 meV/atom
VASP energy = -10.13 eV per formula unit
offset from the most stable computed form = 91 meV/atom

Cell lengths 6.1655, 6.1655, 6.1655 Å; angles 42.96, 42.96, 42.96 degrees
Atoms (fractional coordinates):
Li1 0.0498 0.0498 0.0498
Li2 0.4502 0.4502 0.4502
Sr1 0.2500 0.2500 0.2500
Au1 0.7500 0.7500 0.7500

---

## CsSrHg6 (PBE-GGA)

Data for a relaxed CsSrHg6 crystal.

Summary:
SG = Pmm2 (25)
DFT formation energy = -284 meV/atom
VASP energy = -6.62 eV per formula unit

Cell lengths 5.4472, 6.3450, 7.6068 Å; angles 90.00, 90.00, 90.00 degrees
Atoms (fractional coordinates):
Hg1 0.0000 0.6980 0.5000
Hg2 0.0000 0.1636 0.2819
Hg3 0.5000 0.8681 0.7056
Hg4 0.5000 0.2122 0.0000
Hg5 0.5000 0.8681 0.2944
Hg6 0.0000 0.1636 0.7181
Sr1 0.5000 0.3799 0.5000
Cs1 0.0000 0.6466 0.0000

---

## LiMg4Sn4 (PBE-GGA)

Data for a relaxed LiMg4Sn4 crystal.

Summary:
SG = I4/mmm (139)
DFT formation energy = -109 meV/atom
VASP energy = -25.28 eV per formula unit

Cell lengths 4.6679, 7.1114, 7.1114 Å; angles 83.82, 70.84, 70.84 degrees
Atoms (fractional coordinates):
Li1 0.0000 0.0000 0.0000
Mg1 0.6652 0.6696 0.0000
Mg2 0.6652 0.0000 0.6696
Mg3 0.3348 0.3304 0.0000
Mg4 0.3348 0.0000 0.3304
Sn1 0.0000 0.3116 0.6884
Sn2 0.0000 0.6884 0.3116
Sn3 0.6884 0.3116 0.3116
Sn4 0.3116 0.6884 0.6884

---

## HfGa2F6 (PBE-GGA)

Data for a relaxed HfGa2F6 crystal.

Summary:
ΔE_f (raw) = -2.84 eV per atom
SG = P4_2/mnm (136)
VASP energy = -52.82 eV per formula unit

Cell lengths 5.5021, 5.5021, 11.3578 Å; angles 90.00, 90.00, 90.00 degrees
Atoms (fractional coordinates):
F1 0.1794 0.8206 0.6278
F2 0.8206 0.1794 0.3722
F3 0.6794 0.6794 0.1278
F4 0.3206 0.3206 0.8722
F5 0.2600 0.2600 0.5000
F6 0.8206 0.1794 0.6278
F7 0.6794 0.6794 0.8722
F8 0.1794 0.8206 0.3722
F9 0.7600 0.2400 0.0000
F10 0.3206 0.3206 0.1278
F11 0.7400 0.7400 0.5000
F12 0.2400 0.7600 0.0000
Ga1 0.0000 0.0000 0.8404
Ga2 0.5000 0.5000 0.6596
Ga3 0.5000 0.5000 0.3404
Ga4 0.0000 0.0000 0.1596
Hf1 0.5000 0.5000 0.0000
Hf2 0.0000 0.0000 0.5000

---

## LiMg2Hg2 (PBE-GGA)

Data for a relaxed LiMg2Hg2 crystal.

Summary:
SG = P4/mbm (127)
DFT formation energy = -215 meV/atom
VASP energy = -6.78 eV per formula unit
offset from the most stable computed form = 0 meV/atom

Cell lengths 8.1224, 8.1224, 3.3382 Å; angles 90.00, 90.00, 90.00 degrees
Atoms (fractional coordinates):
Li1 0.5000 0.5000 0.0000
Li2 0.0000 0.0000 0.0000
Hg1 0.1497 0.3503 0.0000
Hg2 0.3503 0.8503 0.0000
Hg3 0.8503 0.6497 0.0000
Hg4 0.6497 0.1497 0.0000
Mg1 0.6506 0.8494 0.5000
Mg2 0.3494 0.1506 0.5000
Mg3 0.1506 0.6506 0.5000
Mg4 0.8494 0.3494 0.5000

---

## SiRu2Se (PBE-GGA)

Data for a relaxed SiRu2Se crystal.

Summary:
ΔE_f (raw) = -0.09 eV per atom
SG = Pmm2 (25)
VASP energy = -27.83 eV per formula unit
offset from the most stable computed form = 89 meV/atom

Cell lengths 2.9588, 3.7976, 5.1921 Å; angles 90.00, 90.00, 90.00 degrees
Atoms (fractional coordinates):
Si1 0.5000 0.5000 0.8076
Ru1 0.5000 0.5000 0.2957
Ru2 0.0000 0.0000 0.9507
Se1 0.0000 0.0000 0.4460

---

## Cs2ZrBrCl6 (PBE-GGA)

Data for a relaxed Cs2ZrBrCl6 crystal.

Summary:
ΔE_f (raw) = -1.68 eV per atom
SG = P1 (1)
VASP energy = -39.84 eV per formula unit
offset from the most stable computed form = 0 meV/atom

Cell lengths 9.3455, 8.9386, 8.9674 Å; angles 41.43, 47.91, 61.89 degrees
Each line ends with the local moment (μB).
Atoms (fractional coordinates):
Cl1 0.5911 0.6093 0.6091  0.11
Cl2 0.1076 0.5958 0.1026  0.00
Cl3 0.5238 0.0355 0.0012  0.00
Cl4 0.4353 0.2240 0.2902  0.01
Cl5 0.1955 0.4067 0.8145  0.01
Cl6 0.0417 0.0220 0.4944  0.13
Cs1 0.9459 0.1791 0.8302  0.00
Cs2 0.6854 0.4527 0.2736  0.00
Zr1 0.3169 0.3170 0.0499  0.02
Br1 0.8182 0.8194 0.5496  0.49

---

no.,magnetic moment (μB/f.u.)
1,0.00
2,0.98
3,0.74
4,0.00
5,1.89
6,0.00
7,0.00
8,0.00
9,0.00
10,0.00
11,0.00
12,1.00